<a>
Density functional theory data (PBE) for a relaxed structure of MnTlW2.

Structure (extended XYZ):
```
8
Lattice="-1.9021 1.9021 9.7538 1.9021 -1.9021 9.7538 1.9021 1.9021 -9.7538" Properties=species:S:1:pos:R:3 pbc="T T T"
Mn 0.0000 0.0000 0.0000
Mn 0.0000 1.9021 4.8769
Tl 1.9021 0.0000 4.8769
Tl 0.0000 0.0000 9.7538
W 2.8532 0.8910 -2.4384
W 0.8910 0.9511 2.4384
W -0.9511 1.0111 7.3153
W 1.0111 0.9511 12.1922
```

Summary:
Symmetry: I-42d, No. 122
Total magnetization, μB/cell: 0.0
V, Å³/atom: 17.6

=====

<b>
Density functional theory data (PBE) for a relaxed structure of MnTlW2.

Structure (extended XYZ):
```
4
Lattice="1.6100 -2.3414 0.0000 1.6100 2.3414 0.0000 0.0000 0.0000 8.9596" Properties=species:S:1:pos:R:3 pbc="T T T"
Mn 0.0000 0.0000 0.0000
Tl 0.0000 0.0000 4.4798
W 1.6100 0.0000 1.9490
W 1.6100 0.0000 7.0105
```

Summary:
Symmetry: Cmmm, No. 65
Total magnetization, μB/cell: 1.5
V, Å³/atom: 16.9

=====

The structure with the least stability is <a>.

=====

<a>
Density functional theory data (PBE) for a relaxed structure of MnTlW2.

Structure (extended XYZ):
```
4
Lattice="1.6196 -2.3560 0.0000 1.6196 2.3560 0.0000 0.0000 0.0000 8.9986" Properties=species:S:1:pos:R:3 pbc="T T T"
Mn 0.0000 0.0000 0.0000
Tl 1.6196 0.0000 6.6575
W 0.0000 0.0000 4.1125
W 1.6196 0.0000 1.9655
```

Summary:
Symmetry: Cmm2, No. 35
Total magnetization, μB/cell: 2.4
V, Å³/atom: 17.2

=====

<b>
Density functional theory data (PBE) for a relaxed structure of MnTlW2.

Structure (extended XYZ):
```
4
Lattice="-2.0859 2.0859 3.8464 2.0859 -2.0859 3.8464 2.0859 2.0859 -3.8464" Properties=species:S:1:pos:R:3 pbc="T T T"
Mn 0.0000 0.0000 0.0000
Tl 2.0859 0.0000 1.9232
W 0.0000 0.0000 3.8464
W 0.0000 2.0859 1.9232
```

Summary:
Symmetry: I-4m2, No. 119
Total magnetization, μB/cell: 2.8
V, Å³/atom: 16.7

=====

The structure with the least stability is <b>.